Ta2AgIr | GGA-PBE | relaxed Values from VASP.

```
&SYSTEM
  ibrav = 0, nat = 4, ntyp = 3
/
ATOMIC_SPECIES
Ta 180.95 Ta.upf
Ag 107.87 Ag.upf
Ir 192.22 Ir.upf
CELL_PARAMETERS angstrom
3.294 0.000 0.000
0.000 3.294 0.000
0.000 0.000 6.362
ATOMIC_POSITIONS crystal
Ta 0.000 0.000 0.000
Ta 0.500 0.500 0.280
Ag 0.000 0.000 0.530
Ir 0.500 0.500 0.795
```

* space group: No. 99
* VASP energy: -8.899 eV per atom
* D(E_F): 2.00 states/eV per cell

---

CsSr2GeBr8 | GGA-PBE | relaxed Values from VASP.

```
&SYSTEM
  ibrav = 0, nat = 12, ntyp = 4
/
ATOMIC_SPECIES
Cs 132.91 Cs.upf
Sr 87.62 Sr.upf
Ge 72.64 Ge.upf
Br 79.90 Br.upf
CELL_PARAMETERS angstrom
6.937 0.000 0.000
0.037 6.947 0.000
0.011 0.003 9.669
ATOMIC_POSITIONS crystal
Cs 0.000 0.000 0.000
Sr 0.500 0.500 0.257
Sr 0.500 0.500 0.743
Ge 0.000 0.000 0.500
Br 0.229 0.852 0.693
Br 0.230 0.853 0.306
Br 0.237 0.325 0.500
Br 0.257 0.421 0.000
Br 0.743 0.579 0.000
Br 0.763 0.675 0.500
Br 0.770 0.147 0.694
Br 0.771 0.148 0.307
```

* space group: No. 2
* D(E_F): 7.70 states/eV per cell
* formation energy (no corrections): -1.42 eV per atom

---

PdAuN2O | GGA-PBE | relaxed Values from VASP.

```
&SYSTEM
  ibrav = 0, nat = 5, ntyp = 4
/
ATOMIC_SPECIES
Pd 106.42 Pd.upf
Au 196.97 Au.upf
N 14.01 N.upf
O 16.00 O.upf
CELL_PARAMETERS angstrom
4.021 0.000 0.000
0.000 4.021 0.000
0.000 0.000 4.308
ATOMIC_POSITIONS crystal
Pd 0.000 0.000 0.000
Au 0.500 0.500 0.500
N 0.000 0.500 0.500
N 0.500 0.000 0.500
O 0.500 0.500 0.000
```

* space group: No. 123
* D(E_F): 2.85 states/eV per cell
* formation energy (no corrections): 1.93 eV per atom

---

LaNiTe2 | GGA-PBE | relaxed Values from VASP.

```
&SYSTEM
  ibrav = 0, nat = 4, ntyp = 3
/
ATOMIC_SPECIES
La 138.91 La.upf
Ni 58.69 Ni.upf
Te 127.60 Te.upf
CELL_PARAMETERS angstrom
-2.091 2.458 5.167
2.091 -2.458 5.167
2.091 2.458 -5.167
ATOMIC_POSITIONS crystal
La 0.000 0.000 0.000
Ni 0.671 0.171 0.500
Te 0.258 0.758 0.500
Te 0.530 0.530 0.000
```

* space group: No. 44
* D(E_F): 3.48 states/eV per cell
* formation energy (no corrections): -0.62 eV per atom

---

InTc4Cl | GGA-PBE | relaxed Values from VASP.

```
&SYSTEM
  ibrav = 0, nat = 6, ntyp = 3
/
ATOMIC_SPECIES
In 114.82 In.upf
Tc 98.00 Tc.upf
Cl 35.45 Cl.upf
CELL_PARAMETERS angstrom
0.000 3.723 3.723
3.723 0.000 3.723
3.723 3.723 0.000
ATOMIC_POSITIONS crystal
In 0.000 0.000 0.000
Tc 0.376 0.376 0.376
Tc 0.376 0.376 0.871
Tc 0.376 0.871 0.376
Tc 0.871 0.376 0.376
Cl 0.750 0.750 0.750
```

* space group: No. 216
* D(E_F): 6.90 states/eV per cell
* formation energy (no corrections): 0.83 eV per atom

---

CdH2Br | GGA-PBE | relaxed Values from VASP.

```
&SYSTEM
  ibrav = 0, nat = 4, ntyp = 3
/
ATOMIC_SPECIES
Cd 112.41 Cd.upf
H 1.01 H.upf
Br 79.90 Br.upf
CELL_PARAMETERS angstrom
4.160 0.000 0.000
0.090 4.178 0.000
1.752 1.208 6.026
ATOMIC_POSITIONS crystal
Cd 0.000 0.000 0.000
H 0.347 0.000 0.445
H 0.358 0.863 0.539
Br 0.503 0.501 0.996
```

* space group: No. 1
* energy above the most stable polymorph in this dataset: 129 meV/atom
* D(E_F): 0.90 states/eV per cell

---

LaPrCl | GGA-PBE | relaxed Values from VASP.

```
&SYSTEM
  ibrav = 0, nat = 3, ntyp = 3
/
ATOMIC_SPECIES
La 138.91 La.upf
Pr 140.91 Pr.upf
Cl 35.45 Cl.upf
CELL_PARAMETERS angstrom
4.196 0.000 0.000
-2.098 3.634 0.000
0.000 0.000 6.334
ATOMIC_POSITIONS crystal
La 0.000 0.000 0.000
Pr 0.333 0.667 0.518
Cl 0.667 0.333 0.260
```

* space group: No. 156
* energy above the most stable polymorph in this dataset: 69 meV/atom
* D(E_F): 4.36 states/eV per cell
* formation energy (no corrections): -0.89 eV per atom

---

Tb2Y3Er8 | GGA-PBE | relaxed Values from VASP.

```
&SYSTEM
  ibrav = 0, nat = 13, ntyp = 3
/
ATOMIC_SPECIES
Tb 158.93 Tb.upf
Y 88.91 Y.upf
Er 167.26 Er.upf
CELL_PARAMETERS angstrom
3.773 -10.164 0.000
3.773 10.164 0.000
0.000 0.000 5.556
ATOMIC_POSITIONS crystal
Tb 0.242 0.758 0.000
Tb 0.758 0.242 0.000
Y 0.000 0.000 0.000
Y 0.284 0.284 0.500
Y 0.716 0.716 0.500
Er 0.133 0.867 0.500
Er 0.178 0.396 0.000
Er 0.334 0.666 0.500
Er 0.396 0.178 0.000
Er 0.604 0.822 0.000
Er 0.666 0.334 0.500
Er 0.822 0.604 0.000
Er 0.867 0.133 0.500
```

* space group: No. 65
* energy above the most stable polymorph in this dataset: 18 meV/atom
* D(E_F): 22.97 states/eV per cell

---

KHSe2N | GGA-PBE | relaxed Values from VASP.

```
&SYSTEM
  ibrav = 0, nat = 5, ntyp = 4
/
ATOMIC_SPECIES
K 39.10 K.upf
H 1.01 H.upf
Se 78.96 Se.upf
N 14.01 N.upf
CELL_PARAMETERS angstrom
4.110 0.000 0.000
0.000 4.110 0.000
0.000 0.000 5.850
ATOMIC_POSITIONS crystal
K 0.000 0.000 0.000
H 0.500 0.500 0.500
Se 0.000 0.500 0.500
Se 0.500 0.000 0.500
N 0.500 0.500 0.000
```

* space group: No. 123
* energy above the most stable polymorph in this dataset: 0 meV/atom
* D(E_F): 2.49 states/eV per cell

---

CaSmSc | GGA-PBE | relaxed Values from VASP.

```
&SYSTEM
  ibrav = 0, nat = 3, ntyp = 3
/
ATOMIC_SPECIES
Ca 40.08 Ca.upf
Sm 150.36 Sm.upf
Sc 44.96 Sc.upf
CELL_PARAMETERS angstrom
3.557 0.000 0.000
-1.779 3.081 0.000
0.000 0.000 8.823
ATOMIC_POSITIONS crystal
Ca 0.000 0.000 0.000
Sm 0.333 0.667 0.632
Sc 0.667 0.333 0.335
```

* space group: No. 156
* energy above the most stable polymorph in this dataset: 14 meV/atom
* D(E_F): 4.47 states/eV per cell

---

NdMgSe2 | GGA-PBE | relaxed Values from VASP.

```
&SYSTEM
  ibrav = 0, nat = 4, ntyp = 3
/
ATOMIC_SPECIES
Nd 144.24 Nd.upf
Mg 24.30 Mg.upf
Se 78.96 Se.upf
CELL_PARAMETERS angstrom
1.991 1.149 7.048
-1.991 1.149 7.048
0.000 -2.299 7.048
ATOMIC_POSITIONS crystal
Nd 0.000 0.000 0.000
Mg 0.832 0.832 0.832
Se 0.240 0.240 0.240
Se 0.428 0.428 0.428
```

* space group: No. 160
* energy above the most stable polymorph in this dataset: 0 meV/atom
* D(E_F): 0.85 states/eV per cell
* formation energy (no corrections): -1.47 eV per atom

---

ErCuPb | GGA-PBE | relaxed Values from VASP.

```
&SYSTEM
  ibrav = 0, nat = 12, ntyp = 3
/
ATOMIC_SPECIES
Er 167.26 Er.upf
Cu 63.55 Cu.upf
Pb 207.20 Pb.upf
CELL_PARAMETERS angstrom
6.570 0.000 0.000
0.000 6.417 0.000
-2.660 0.000 6.656
ATOMIC_POSITIONS crystal
Er 0.246 0.172 0.393
Er 0.246 0.328 0.893
Er 0.754 0.672 0.107
Er 0.754 0.828 0.607
Cu 0.453 0.542 0.303
Cu 0.453 0.958 0.803
Cu 0.547 0.042 0.197
Cu 0.547 0.458 0.697
Pb 0.195 0.699 0.516
Pb 0.195 0.801 0.016
Pb 0.805 0.199 0.984
Pb 0.805 0.301 0.484
```

* space group: No. 14
* VASP energy: -4.298 eV per atom
* D(E_F): 9.07 states/eV per cell